Computed, not measured: crystalline FeReN2 at its relaxed geometry at the GGA-PBE level of DFT.

a b c (Å): 3.6955 3.6955 3.6955
angles (deg): 60.00 60.00 60.00
Sites, in units of the cell vectors:
Fe1 0.0000 0.0000 0.0000
Re1 0.5000 0.5000 0.5000
N1 0.2500 0.2500 0.2500
N2 0.7500 0.7500 0.7500

Results
Space-group type ... Fm-3m (225)
Energy relative to the elements, uncorrected ... 0.81 eV/atom
DFT total energy ... -8.584 eV per atom
Energy above the most stable polymorph in this dataset ... 64.9 kJ per mole of atoms
M_tot ... 2.4 μB per cell


Computed, not measured: crystalline SmThAlGe at its relaxed geometry at the GGA-PBE level of DFT.

a b c (Å): 4.1018 6.0312 6.0312
angles (deg): 43.34 90.00 90.00
Sites, in units of the cell vectors:
Sm1 0.0000 0.0000 0.0000
Th1 0.5000 0.7156 0.7156
Al1 0.0000 0.2865 0.2865
Ge1 0.5000 0.4342 0.4342

Results
Space-group type ... Amm2 (38)
DFT total energy ... -5.738 eV per atom
M_tot ... 0.0 μB per cell
ΔH_f (0 K) ... -0.61 eV per atom


Computed, not measured: crystalline TaTi3Sn2 at its relaxed geometry at the GGA-PBE level of DFT.

a b c (Å): 7.0612 7.0612 3.7276
angles (deg): 90.00 90.00 143.50
Sites, in units of the cell vectors:
Ta1 0.0000 0.0000 0.0000
Ti1 0.1674 0.8326 0.5000
Ti2 0.5000 0.5000 0.5000
Ti3 0.8326 0.1674 0.5000
Sn1 0.3426 0.6574 0.0000
Sn2 0.6574 0.3426 0.0000

Results
Space-group type ... Cmmm (65)
DFT total energy ... -7.538 eV per atom
Energy above the most stable polymorph in this dataset ... 0.0 kJ per mole of atoms
M_tot ... 0.0 μB per cell
ΔH_f (0 K) ... -0.28 eV per atom


- Which of these has the highest DFT total energy?
  SmThAlGe


Please write out number 2 again, unchanged.
Computed, not measured: crystalline SmThAlGe at its relaxed geometry at the GGA-PBE level of DFT.

a b c (Å): 4.1018 6.0312 6.0312
angles (deg): 43.34 90.00 90.00
Sites, in units of the cell vectors:
Sm1 0.0000 0.0000 0.0000
Th1 0.5000 0.7156 0.7156
Al1 0.0000 0.2865 0.2865
Ge1 0.5000 0.4342 0.4342

Results
Space-group type ... Amm2 (38)
DFT total energy ... -5.738 eV per atom
M_tot ... 0.0 μB per cell
ΔH_f (0 K) ... -0.61 eV per atom


- M_tot of number 3 (TaTi3Sn2)?
  0.0 μB per cell


- Look up the DFT total energy of the third one.
  -7.538 eV per atom